(1)
Below is an optimized crystal structure of LaMnCd2, with properties calculated at the PBE level.

## Properties
**SG**: Cm, No. 8
**Calculated formation energy**: 0.19 eV/f.u.

Cell lengths 4.8208, 4.8208, 5.7206 Å; angles 114.91, 114.91, 60.10 degrees
Closest atoms and distances in Å follow each position.
Fractional coordinates of all 4 atoms:
La 0.0000 0.0000 0.0000  1 Mn 2.99, 4 Cd 3.23-3.30
Mn 0.8015 0.8015 0.4018  6 Cd 2.79-3.04, 1 La 2.99
Cd 0.2155 0.2155 0.6456  3 Cd 3.00, 3 Mn 3.03-3.04, 4 La 3.23-3.30
Cd 0.4741 0.4741 0.4206  3 Mn 2.79, 3 Cd 3.00

(2)
Below is an optimized crystal structure of CsHf3N, with properties calculated at the PBE level.

## Properties
**Formation energy without anion corrections**: 487 meV per atom
**SG**: Pm-3m, No. 221

Cell lengths 4.6561, 4.6561, 4.6561 Å; angles 90.00, 90.00, 90.00 degrees
Closest atoms and distances in Å follow each position.
Fractional coordinates of all 5 atoms:
Cs 0.0000 0.0000 0.0000  12 Hf 3.29
Hf 0.0000 0.5000 0.5000  2 N 2.33
Hf 0.5000 0.0000 0.5000  2 N 2.33
Hf 0.5000 0.5000 0.0000  2 N 2.33
N 0.5000 0.5000 0.5000  6 Hf 2.33

(3)
Below is an optimized crystal structure of CaCeTl2, with properties calculated at the PBE level.

## Properties
**SG**: P4/mmm, No. 123
**Calculated formation energy**: -1.31 eV/f.u.

Cell lengths 3.7802, 3.7802, 8.2354 Å; angles 90.00, 90.00, 90.00 degrees
Closest atoms and distances in Å follow each position.
Fractional coordinates of all 4 atoms:
Ca 0.0000 0.0000 0.0000  8 Tl 3.35
Ce 0.0000 0.0000 0.5000  8 Tl 3.39, 4 Ce 3.78
Tl 0.5000 0.5000 0.2458  4 Ca 3.35, 4 Ce 3.39
Tl 0.5000 0.5000 0.7542  4 Ca 3.35, 4 Ce 3.39

Number 1: N(E_F) 3.4 states/eV/f.u.. Number 2: N(E_F) 6.3 states/eV/f.u.. Number 3: N(E_F) 8.5 states/eV/f.u..